No. 1
A PBEsol-optimized structure of TeRhW2. Source: Alexandria via LeMat-Bulk, functional meta-GGA SCAN.

The structure in POSCAR format:
```
TeRhW2
1.0
3.068 0.000 0.000
0.000 3.068 0.000
0.000 0.000 6.882
Rh Te W
1 1 2
Direct
0.500 0.500 0.000
0.500 0.500 0.500
0.000 0.000 0.756
0.000 0.000 0.244
```

Properties
**Space group**: P4/mmm (123)
**Raw formation energy**: 2.4 eV/f.u.

No. 2
A PBEsol-optimized structure of KSr3. Source: Alexandria via LeMat-Bulk, functional meta-GGA SCAN.

The structure in POSCAR format:
```
KSr3
1.0
-4.131 -0.467 5.208
3.568 -7.204 2.185
4.119 6.152 3.819
K Sr
2 6
Direct
0.750 0.391 0.391
0.250 0.609 0.609
0.250 0.131 0.131
0.750 0.869 0.869
0.250 0.110 0.636
0.750 0.890 0.364
0.250 0.636 0.110
0.750 0.364 0.890
```

Properties
**Formation enthalpy at 0 K**: 83 meV per atom
**Space group**: Cmcm (63)
**Energy relative to the lowest polymorph listed for this composition**: 32 meV/atom